Record 1
# BeZnH2S

A relaxed structure of BeZnH2S (PBE, the Alexandria database).

Results
For the density of states at the Fermi level, the calculation gives 0.000 states/eV per atom.

Cell lengths 6.730, 3.977, 5.882 Å; angles 90.00, 117.11, 90.00 degrees
Space group Cm (No. 8)
Asymmetric unit:
Be1 0.000 0.000 0.000 [2 per cell]
Zn1 0.434 0.500 0.520 [2 per cell]
H1 0.098 0.000 0.832 [2 per cell]
H2 0.277 0.500 0.928 [2 per cell]
S1 0.215 0.000 0.380 [2 per cell]

Record 2
# BeZnH2S

A relaxed structure of BeZnH2S (PBE, the Alexandria database).

Results
For the density of states at the Fermi level, the calculation gives 0.000 states/eV per atom.

Cell lengths 3.538, 4.365, 4.680 Å; angles 116.38, 91.60, 90.99 degrees
Space group P1 (No. 1)
Asymmetric unit:
Be1 0.000 0.000 0.000 [1 per cell]
Zn1 0.231 0.234 0.652 [1 per cell]
H1 0.966 0.042 0.324 [1 per cell]
H2 0.992 0.335 0.997 [1 per cell]
S1 0.487 0.765 0.749 [1 per cell]

Record 3
# BeZnH2S

A relaxed structure of BeZnH2S (PBE, the Alexandria database).

Results
For the density of states at the Fermi level, the calculation gives 0.000 states/eV per atom.

Cell lengths 3.610, 3.986, 4.370 Å; angles 89.87, 89.92, 68.37 degrees
Space group P1 (No. 1)
Asymmetric unit:
Be1 0.000 0.000 0.000 [1 per cell]
Zn1 0.501 0.500 0.432 [1 per cell]
H1 0.120 0.695 0.201 [1 per cell]
H2 0.877 0.309 0.196 [1 per cell]
S1 0.501 0.999 0.740 [1 per cell]

Record 4
# BeZnH2S

A relaxed structure of BeZnH2S (PBE, the Alexandria database).

Results
For the density of states at the Fermi level, the calculation gives 0.000 states/eV per atom.

Cell lengths 3.407, 4.743, 5.432 Å; angles 66.48, 89.95, 69.18 degrees
Space group P1 (No. 1)
Asymmetric unit:
Be1 0.000 0.000 0.000 [1 per cell]
Zn1 0.211 0.579 0.425 [1 per cell]
H1 0.815 0.371 0.028 [1 per cell]
H2 0.892 0.217 0.175 [1 per cell]
S1 0.478 0.046 0.780 [1 per cell]

no.,polymorph energy (0 for the lowest one) (eV per atom),calculated total energy (eV per cell)
1,0.1135,-33.2
2,0.0199,-17.0
3,0.0000,-17.1
4,0.1619,-16.3